Entry from the Open Quantum Materials Database: a relaxed structure of NaPrCdTe3 (PBE-GGA).

abc: 8.8394 4.5178 10.7459
angles: 90.00 103.63 90.00
Space group P2_1/m (No. 11)
Symmetry-distinct sites (fractional):
Na: 0.2155 0.2500 0.2389 [2 per cell]
Pr: 0.3174 0.7500 0.8562 [2 per cell]
Cd: 0.0847 0.2500 0.6031 [2 per cell]
Te: 0.0604 0.2500 0.8600 [2 per cell]
Te: 0.2512 0.7500 0.5338 [2 per cell]
Te: 0.4350 0.7500 0.1597 [2 per cell]

## Properties
Offset from the most stable computed form in kJ/mol of atoms: 0.4
Density in Mg/m³: 5.2
Total energy in eV/atom: -3.71